# 1
LaPr2Ho12 | PBE | relaxed

Summary:
Energy relative to the elements   0.107 eV/atom
Size of the total moment   0.0 μB per formula unit
Mass density   8.163 g/cm³
SG   C2/m, No. 12

a = 6.6457 Å, b = 6.6457 Å, c = 25.0329 Å
α = 83.48°, β = 96.52°, γ = 64.66°
Positions (direct):
La  0.5057  0.9943  0.0001
La  0.9943  0.5057  0.9999
Pr  0.4571  0.0429  0.2739
Pr  0.9557  0.5443  0.2744
Pr  0.0429  0.4571  0.7261
Pr  0.5443  0.9557  0.7256
Ho  0.5978  0.4019  0.7984
Ho  0.0981  0.9022  0.7984
Ho  0.8954  0.6046  0.8626
Ho  0.4406  0.5567  0.9240
Ho  0.0009  0.0007  0.3323
Ho  0.0594  0.9433  0.0760
Ho  0.6649  0.3323  0.5544
Ho  0.4993  0.4991  0.3323
Ho  0.3971  0.1029  0.8627
Ho  0.6046  0.8954  0.1374
Ho  0.1764  0.3236  0.5697
Ho  0.8351  0.1677  0.4456
Ho  0.0007  0.0009  0.6677
Ho  0.3236  0.1764  0.4303
Ho  0.1029  0.3971  0.1373
Ho  0.8196  0.6804  0.4285
Ho  0.6804  0.8196  0.5715
Ho  0.9022  0.0981  0.2016
Ho  0.1677  0.8351  0.5544
Ho  0.4991  0.4993  0.6677
Ho  0.9433  0.0594  0.9240
Ho  0.4019  0.5978  0.2016
Ho  0.3323  0.6649  0.4456
Ho  0.5567  0.4406  0.0760



# 2
YSbS | PBE | relaxed

Summary:
Size of the total moment   0.0 μB per formula unit
Mass density   5.539 g/cm³
Raw formation energy   -4.1 eV per formula unit
SG   I4/mmm, No. 139

a = 4.0839 Å, b = 4.0839 Å, c = 9.1917 Å
α = 102.84°, β = 102.84°, γ = 90.00°
Positions (direct):
Y  0.3445  0.3445  0.6891
Y  0.6555  0.6555  0.3109
Sb  0.0000  0.5000  0.0000
Sb  0.5000  0.0000  0.0000
S  0.1871  0.1871  0.3743
S  0.8129  0.8129  0.6257



# 3
Pm3Dy2YBi6 | PBE | relaxed

Summary:
Energy relative to the elements   -0.905 eV/atom
Size of the total moment   0.0 μB per formula unit
Mass density   8.856 g/cm³
SG   C2/m, No. 12

a = 4.5313 Å, b = 9.0560 Å, c = 10.1237 Å
α = 102.81°, β = 102.93°, γ = 90.00°
Positions (direct):
Pm  0.5000  0.5000  0.0000
Pm  0.8334  0.1669  0.6669
Pm  0.1666  0.8331  0.3331
Dy  0.8334  0.6670  0.6668
Dy  0.1666  0.3330  0.3332
Y  0.5000  0.0000  0.0000
Bi  0.3347  0.9129  0.6693
Bi  0.6682  0.5792  0.3365
Bi  0.6653  0.0871  0.3307
Bi  0.0016  0.2467  0.0031
Bi  0.9984  0.7533  0.9969
Bi  0.3318  0.4208  0.6635



# 4
SmB4Rh12 | PBE | relaxed

Summary:
Energy relative to the elements   -0.104 eV/atom
Size of the total moment   0.0 μB per formula unit
Mass density   10.048 g/cm³
SG   Im-3, No. 204

a = 6.7435 Å, b = 6.7435 Å, c = 6.7435 Å
α = 109.47°, β = 109.47°, γ = 109.47°
Positions (direct):
Sm  0.0000  0.0000  0.0000
B  0.0000  0.5000  0.0000
B  0.5000  0.0000  0.0000
B  0.5000  0.5000  0.5000
B  0.0000  0.0000  0.5000
Rh  0.8269  0.3228  0.1497
Rh  0.3228  0.4959  0.1731
Rh  0.8503  0.1731  0.6772
Rh  0.3228  0.1497  0.8269
Rh  0.1497  0.8269  0.3228
Rh  0.6772  0.5041  0.8269
Rh  0.4959  0.1731  0.3228
Rh  0.5041  0.8269  0.6772
Rh  0.6772  0.8503  0.1731
Rh  0.8269  0.6772  0.5041
Rh  0.1731  0.3228  0.4959
Rh  0.1731  0.6772  0.8503



# 5
CaScBi2 | PBE | relaxed

Summary:
Energy relative to the elements   -0.574 eV/atom
Size of the total moment   0.0 μB per formula unit
Distance to the lowest polymorph of the same formula   0.0775 eV/atom
Mass density   6.539 g/cm³
SG   R3m, No. 160

a = 4.5444 Å, b = 4.5444 Å, c = 7.6081 Å
α = 72.62°, β = 72.62°, γ = 60.00°
Positions (direct):
Ca  0.6691  0.6691  0.9928
Sc  0.4969  0.4969  0.5093
Bi  0.0900  0.0900  0.7299
Bi  0.2440  0.2440  0.2680